# 1
The following is a PBE calculation of a geometry-optimized Gd2DyGa3NiSn2 structure, from the Open Quantum Materials Database.

a b c (Å): 4.2915 7.2921 7.2921
angles (deg): 119.69 90.00 90.00
Closest atoms and distances in Å follow each position.
Sites, in units of the cell vectors:
1 Sn 0.5000 0.6649 0.3343  3 Ga 2.93-2.95, 2 Dy 3.12, 4 Gd 3.14
2 Gd 0.0000 0.9995 0.6203  1 Ni 2.78
3 Ni 0.0000 0.0026 0.0026  6 Ga 2.67-2.69, 1 Dy 2.74, 2 Gd 2.78
4 Gd 0.0000 0.6203 0.9995  1 Ni 2.78
5 Ga 0.5000 0.7815 0.7815  2 Ni 2.69, 2 Ga 2.78, 2 Sn 2.93
6 Dy 0.0000 0.3769 0.3769  1 Ni 2.74
7 Ga 0.5000 0.0000 0.2199  2 Ni 2.67, 2 Ga 2.77-2.78, 2 Sn 2.94-2.95
8 Ga 0.5000 0.2199 0.0000  2 Ni 2.67, 2 Ga 2.77-2.78, 2 Sn 2.94-2.95
9 Sn 0.5000 0.3343 0.6649  3 Ga 2.93-2.95, 2 Dy 3.12, 4 Gd 3.14

Values from the calculation:
Total energy, eV per atom: -4.683
Space group: Amm2 (38)

# 2
The following is a PBE calculation of a geometry-optimized GdDyGa4Pt2 structure, from the Open Quantum Materials Database.

a b c (Å): 6.7391 5.5603 5.5603
angles (deg): 46.24 90.00 90.00
Closest atoms and distances in Å follow each position.
Sites, in units of the cell vectors:
1 Ga 0.8031 0.3682 0.3682  3 Pt 2.63-2.66, 2 Ga 2.65-2.78
2 Gd 0.5000 0.9176 0.9176  3 Pt 2.95-3.08, 6 Ga 3.03-3.22
3 Ga 0.1969 0.3682 0.3682  3 Pt 2.63-2.66, 2 Ga 2.65-2.78
4 Dy 0.0000 0.0829 0.0829  3 Pt 2.95-3.08, 6 Ga 3.03-3.21
5 Pt 0.5000 0.2055 0.2055  6 Ga 2.63-2.67, 1 Gd 2.95
6 Pt 0.0000 0.7948 0.7948  6 Ga 2.63-2.66, 1 Dy 2.95
7 Ga 0.6980 0.6314 0.6314  3 Pt 2.63-2.67, 2 Ga 2.67-2.78
8 Ga 0.3020 0.6314 0.6314  3 Pt 2.63-2.67, 2 Ga 2.67-2.78

Values from the calculation:
Total energy, eV per atom: -5.112
Space group: Amm2 (38)

# 3
The following is a PBE calculation of a geometry-optimized GdDyGa2Pt4 structure, from the Open Quantum Materials Database.

a b c (Å): 4.3932 4.3932 9.1543
angles (deg): 90.00 90.00 120.00
Closest atoms and distances in Å follow each position.
Sites, in units of the cell vectors:
1 Pt 0.6667 0.3333 0.8360  3 Ga 2.65, 3 Dy 2.95, 3 Pt 2.97
2 Dy 0.0000 0.0000 0.0000  8 Pt 2.95-3.04
3 Ga 0.3333 0.6667 0.2494  6 Pt 2.65
4 Gd 0.6667 0.3333 0.5000  8 Pt 2.97-3.08
5 Pt 0.0000 0.0000 0.6678  3 Ga 2.65
6 Pt 0.0000 0.0000 0.3322  3 Ga 2.65
7 Ga 0.3333 0.6667 0.7506  6 Pt 2.65
8 Pt 0.6667 0.3333 0.1640  3 Ga 2.65, 3 Dy 2.95, 3 Pt 2.97

Values from the calculation:
Total energy, eV per atom: -5.999
Space group: P-6m2 (187)

# 4
The following is a PBE calculation of a geometry-optimized GdDyGa3Si2 structure, from the Open Quantum Materials Database.

a b c (Å): 5.5439 5.5439 6.6173
angles (deg): 100.49 100.49 43.14
Closest atoms and distances in Å follow each position.
Sites, in units of the cell vectors:
1 Dy 0.6190 0.6190 0.8155  5 Si 2.92-3.06, 6 Ga 3.00-3.26
2 Gd 0.3808 0.3808 0.1845  5 Si 2.92-3.06, 5 Ga 3.01-3.23
3 Ga 0.3038 0.3038 0.6411  2 Si 2.62, 2 Ga 2.83
4 Si 0.0931 0.0931 0.1321  1 Si 2.34
5 Ga 0.6959 0.6959 0.3604  2 Si 2.63, 2 Ga 2.83
6 Si 0.9065 0.9065 0.8654  1 Si 2.34, 2 Ga 2.62
7 Ga 0.0010 0.0010 0.5009  2 Si 2.77-2.79, 2 Dy 3.00, 2 Gd 3.01, 2 Ga 3.08-3.10

Values from the calculation:
Total energy, eV per atom: -4.725
Space group: Cm (8)

# 5
The following is a PBE calculation of a geometry-optimized SmGd2DyGa2 structure, from the Open Quantum Materials Database.

a b c (Å): 5.2053 5.2053 6.6729
angles (deg): 90.00 90.00 120.00
Closest atoms and distances in Å follow each position.
Sites, in units of the cell vectors:
1 Sm 0.6667 0.3333 0.5000  5 Ga 3.01-3.34
2 Ga 0.0000 0.0000 0.5000  3 Sm 3.01, 2 Dy 3.34
3 Dy 0.0000 0.0000 0.0000  5 Ga 3.01-3.34
4 Ga 0.6667 0.3333 0.0000  3 Dy 3.01, 2 Sm 3.34
5 Gd 0.3333 0.6667 0.2463  2 Gd 3.29-3.39, 6 Ga 3.43-3.45, 3 Dy 3.43, 3 Sm 3.45
6 Gd 0.3333 0.6667 0.7537  2 Gd 3.29-3.39, 6 Ga 3.43-3.45, 3 Dy 3.43, 3 Sm 3.45

Values from the calculation:
Total energy, eV per atom: -4.494
Space group: P-6m2 (187)

# 6
The following is a PBE calculation of a geometry-optimized GdDy2TmGa2 structure, from the Open Quantum Materials Database.

a b c (Å): 5.1513 5.1513 6.5988
angles (deg): 90.00 90.00 120.00
Closest atoms and distances in Å follow each position.
Sites, in units of the cell vectors:
1 Tm 0.3333 0.6667 0.5000  5 Ga 2.97-3.30
2 Dy 0.6667 0.3333 0.2536  2 Dy 3.25-3.35, 3 Tm 3.39, 6 Ga 3.39-3.41, 3 Gd 3.41
3 Gd 0.0000 0.0000 0.0000  5 Ga 2.97-3.30
4 Dy 0.6667 0.3333 0.7464  2 Dy 3.25-3.35, 3 Tm 3.39, 6 Ga 3.39-3.41, 3 Gd 3.41
5 Ga 0.0000 0.0000 0.5000  3 Tm 2.97, 2 Gd 3.30
6 Ga 0.3333 0.6667 0.0000  3 Gd 2.97, 2 Tm 3.30

Values from the calculation:
Total energy, eV per atom: -4.453
Space group: P-6m2 (187)

# 7
The following is a PBE calculation of a geometry-optimized Gd2DyTmGa2 structure, from the Open Quantum Materials Database.

a b c (Å): 5.1685 5.1685 6.6122
angles (deg): 90.00 90.00 120.00
Closest atoms and distances in Å follow each position.
Sites, in units of the cell vectors:
1 Ga 0.3333 0.6667 0.5000  3 Dy 2.98, 2 Tm 3.31
2 Ga 0.0000 0.0000 0.0000  3 Tm 2.98, 2 Dy 3.31
3 Dy 0.0000 0.0000 0.5000  5 Ga 2.98-3.31
4 Gd 0.6667 0.3333 0.7521  2 Gd 3.28-3.33, 3 Tm 3.40, 6 Ga 3.40-3.42, 3 Dy 3.42
5 Tm 0.3333 0.6667 0.0000  5 Ga 2.98-3.31
6 Gd 0.6667 0.3333 0.2479  2 Gd 3.28-3.33, 3 Tm 3.40, 6 Ga 3.40-3.42, 3 Dy 3.42

Values from the calculation:
Total energy, eV per atom: -4.456
Space group: P-6m2 (187)

# 8
The following is a PBE calculation of a geometry-optimized DyGaGe structure, from the Open Quantum Materials Database.

a b c (Å): 7.2288 7.2288 4.1317
angles (deg): 90.00 90.00 120.00
Closest atoms and distances in Å follow each position.
Sites, in units of the cell vectors:
1 Ga 0.2675 0.2675 0.0000  4 Ge 2.68-2.83
2 Ga 0.0000 0.7325 0.0000  4 Ge 2.68-2.83
3 Dy 0.3863 0.0000 0.5000  5 Ge 2.79-3.05
4 Ge 0.0000 0.0000 0.5000  3 Dy 2.79, 6 Ga 2.83
5 Ga 0.7325 0.0000 0.0000  4 Ge 2.68-2.83
6 Ge 0.6667 0.3333 0.0000  3 Ga 2.68
7 Dy 0.0000 0.3863 0.5000  5 Ge 2.79-3.05
8 Dy 0.6137 0.6137 0.5000  5 Ge 2.79-3.05
9 Ge 0.3333 0.6667 0.0000  3 Ga 2.68

Values from the calculation:
Total energy, eV per atom: -4.651
Space group: P-62m (189)

# 9
The following is a PBE calculation of a geometry-optimized Dy2GaGe structure, from the Open Quantum Materials Database.

a b c (Å): 5.8092 3.9950 8.4395
angles (deg): 90.00 107.80 90.00
Closest atoms and distances in Å follow each position.
Sites, in units of the cell vectors:
1 Ge 0.1331 0.2500 0.2908  2 Ga 2.63
2 Dy 0.7115 0.2500 0.4317  4 Ge 3.00-3.20, 3 Ga 3.03-3.21
3 Ga 0.3702 0.7500 0.2094  2 Ge 2.63
4 Dy 0.7939 0.7500 0.0721  3 Ge 3.01-3.22, 4 Ga 3.02-3.19
5 Ge 0.8669 0.7500 0.7092  2 Ga 2.63
6 Dy 0.2885 0.7500 0.5683  4 Ge 3.00-3.20, 3 Ga 3.03-3.21
7 Ga 0.6298 0.2500 0.7906  2 Ge 2.63
8 Dy 0.2061 0.2500 0.9279  3 Ge 3.01-3.22, 4 Ga 3.02-3.19

Values from the calculation:
Total energy, eV per atom: -5.004
Space group: P2_1/m (11)

# 10
The following is a PBE calculation of a geometry-optimized DyGaGe structure, from the Open Quantum Materials Database.

a b c (Å): 7.5727 7.5727 4.0812
angles (deg): 90.00 90.00 120.00
Closest atoms and distances in Å follow each position.
Sites, in units of the cell vectors:
1 Ge 0.0000 0.0000 0.5000  6 Dy 2.92, 3 Ga 3.09
2 Ga 0.4076 0.0000 0.5000  5 Ge 3.07-3.09, 6 Dy 3.15-3.41
3 Ge 0.3333 0.6667 0.0000  3 Dy 2.77, 6 Ga 3.07
4 Dy 0.2760 0.2760 0.0000  4 Ge 2.77-2.92
5 Ge 0.6667 0.3333 0.0000  3 Dy 2.77, 6 Ga 3.07
6 Dy 0.7240 0.0000 0.0000  4 Ge 2.77-2.92
7 Ga 0.5924 0.5924 0.5000  5 Ge 3.07-3.09, 6 Dy 3.15-3.41
8 Dy 0.0000 0.7240 0.0000  4 Ge 2.77-2.92
9 Ga 0.0000 0.4076 0.5000  5 Ge 3.07-3.09, 6 Dy 3.15-3.41

Values from the calculation:
Total energy, eV per atom: -4.430
Space group: P-62m (189)